[1]
DFT (PBEsol) results for crystalline Li2ZrSi at its relaxed geometry.

Cell lengths 2.973, 2.973, 7.679 Å; angles 90.00, 90.00, 90.00 degrees
Sites, in units of the cell vectors:
Si 0.000 0.000 0.476
Zr 0.500 0.500 0.716
Li 0.000 0.000 0.030
Li 0.500 0.500 0.278

Computed properties:
SG ... P4mm (99)
ΔE_f (raw) ... -0.181 eV per atom

=====

[2]
DFT (PBEsol) results for crystalline Li2ZrSi at its relaxed geometry.

Cell lengths 3.755, 3.821, 5.561 Å; angles 110.09, 109.73, 90.00 degrees
Last column: magnetic moment on the atom in μB.
Sites, in units of the cell vectors:
Si 0.000 0.500 0.000  0.00
Zr 0.500 0.000 0.000  0.26
Li 0.747 0.747 0.495  0.01
Li 0.253 0.253 0.505  0.01

Computed properties:
SG ... Immm (71)
ΔE_f (raw) ... -0.144 eV per atom

=====

[3]
DFT (PBEsol) results for crystalline Li3ZrSi at its relaxed geometry.

Cell lengths 4.394, 4.394, 4.394 Å; angles 90.00, 90.00, 90.00 degrees
Sites, in units of the cell vectors:
Si 0.000 0.000 0.000
Zr 0.500 0.500 0.500
Li 0.000 0.500 0.000
Li 0.000 0.000 0.500
Li 0.500 0.000 0.000

Computed properties:
SG ... Pm-3m (221)
ΔE_f (raw) ... 0.454 eV per atom